1.
Here is a relaxed structure of Sc5Cd2PdPt2 from Alexandria via LeMat-Bulk. Energies are from PBE.

Output
Its total magnetization is 0.00 Bohr magnetons per cell. The energy of formation from the pure elements is -748 meV per atom. For the electronic total energy, the calculation gives -5.82 eV per atom.

```
Sc5Cd2PdPt2
1.0
-1.979 -2.793 -0.012
8.905 -6.317 1.889
-1.564 1.060 10.918
Sc Cd Pd Pt
10 4 2 4
Cartesian
0.603 -2.530 1.180 Sc
4.759 -5.520 11.614 Sc
-1.581 -1.017 8.957 Sc
4.510 -5.318 5.937 Sc
6.944 -7.033 3.838 Sc
0.853 -2.732 6.858 Sc
3.053 -4.298 8.637 Sc
2.310 -3.752 4.158 Sc
3.463 -4.555 0.938 Sc
-1.771 -0.867 5.453 Sc
5.697 -4.049 3.115 Cd
1.644 -1.207 9.692 Cd
0.992 -0.720 3.929 Cd
6.349 -4.536 8.878 Cd
0.000 0.000 0.000 Pd
3.671 -2.628 6.403 Pd
0.201 -0.174 7.174 Pt
7.140 -5.082 5.633 Pt
4.291 -3.086 10.653 Pt
3.050 -2.170 2.154 Pt
```

=====

2.
Here is a relaxed structure of Y4MgS5 from Alexandria via LeMat-Bulk. Energies are from PBE.

Output
Its total magnetization is 0.00 Bohr magnetons per cell. The formation energy (no corrections) is -1.84 eV per atom. For the electronic total energy, the calculation gives -6.65 eV per atom.

```
Y4MgS5
1.0
4.959 0.000 2.392
2.480 6.136 1.196
-0.186 0.000 6.723
Y Mg S
4 1 5
Cartesian
2.851 2.461 6.775 Y
5.847 4.863 6.900 Y
1.415 1.273 3.415 Y
4.411 3.675 3.541 Y
0.006 0.000 0.003 Mg
5.277 2.330 8.082 S
3.311 4.987 5.822 S
3.952 1.149 4.493 S
1.985 3.806 2.233 S
2.486 0.000 1.199 S
```

=====

3.
Here is a relaxed structure of BeNi2Pt2 from Alexandria via LeMat-Bulk. Energies are from PBE.

Output
Its total magnetization is 4.34 Bohr magnetons per cell. The value obtained for the energy above the most stable polymorph in this dataset is 0.0 meV per atom. The energy of formation from the pure elements is -71 meV per atom. For the electronic total energy, the calculation gives -5.54 eV per atom.

```
BeNi2Pt2
1.0
5.903 0.000 0.000
0.000 5.903 0.000
0.000 0.000 3.914
Ni Pt Be
4 4 2
Cartesian
0.880 3.831 1.957 Ni
3.831 5.023 1.957 Ni
5.023 2.071 1.957 Ni
2.071 0.880 1.957 Ni
2.028 4.979 0.000 Pt
4.979 3.874 0.000 Pt
3.874 0.923 0.000 Pt
0.923 2.028 0.000 Pt
0.000 0.000 0.000 Be
2.951 2.951 0.000 Be
```

=====

4.
Here is a relaxed structure of KZrIn from Alexandria via LeMat-Bulk. Energies are from PBE.

Output
Its total magnetization is 0.00 Bohr magnetons per cell. The value obtained for the energy above the most stable polymorph in this dataset is 216.2 meV per atom. The energy of formation from the pure elements is 165 meV per atom. For the electronic total energy, the calculation gives -3.96 eV per atom.

```
KZrIn
1.0
-5.237 -4.704 -5.990
2.199 0.413 -2.242
7.986 -0.556 7.718
K Zr In
2 2 2
Cartesian
4.972 -0.741 1.002 K
-2.929 -3.964 -7.300 K
1.022 -2.352 -3.148 Zr
7.633 -0.278 3.706 Zr
-1.997 -2.351 -3.872 In
1.842 -2.766 -0.182 In
```

=====

5.
Here is a relaxed structure of RbMg2Pt2 from Alexandria via LeMat-Bulk. Energies are from PBE.

Output
Its total magnetization is 0.00 Bohr magnetons per cell. The value obtained for the energy above the most stable polymorph in this dataset is 0.0 meV per atom. The energy of formation from the pure elements is -437 meV per atom. For the electronic total energy, the calculation gives -3.69 eV per atom.

```
RbMg2Pt2
1.0
-5.415 3.911 -4.974
-6.257 -4.284 3.442
-0.334 2.118 2.029
Mg Rb Pt
4 2 4
Cartesian
-4.855 -1.133 2.531 Mg
-9.018 -0.175 0.845 Mg
-7.150 2.878 -2.033 Mg
-2.987 1.919 -0.347 Mg
0.000 0.000 0.000 Rb
-5.836 -0.187 -0.766 Rb
-7.194 -2.272 1.188 Pt
-8.671 0.526 -1.976 Pt
-4.477 1.899 -2.719 Pt
-3.001 -0.899 0.445 Pt
```

=====

6.
Here is a relaxed structure of Tc2SO from Alexandria via LeMat-Bulk. Energies are from PBE.

Output
Its total magnetization is 0.00 Bohr magnetons per cell. The value obtained for the energy above the most stable polymorph in this dataset is 0.0 meV per atom. The formation energy (no corrections) is -0.20 eV per atom. For the electronic total energy, the calculation gives -7.65 eV per atom.

```
Tc2SO
1.0
5.050 0.000 0.000
0.000 5.050 0.000
2.525 2.525 4.690
S Tc O
2 4 2
Cartesian
0.000 0.000 0.000 S
5.050 2.525 2.345 S
3.591 1.263 1.173 Tc
1.459 3.788 1.173 Tc
3.788 3.984 3.518 Tc
6.313 6.117 3.518 Tc
2.525 2.525 0.000 O
2.525 5.050 2.345 O
```